# KVP2O8 PBE with a Hubbard U relaxed
# V = 14.66 A^3/atom
# Uncorrected energy = -7.02 eV per atom
data_KVP2O8
_chemical_formula_sum 'K1 V1 P2 O8'
_symmetry_space_group_name_H-M 'P -3'
_symmetry_Int_Tables_number 147
_symmetry_space_group_name_Hall '-P 3'
_cell_length_a 4.8954
_cell_length_b 4.8954
_cell_length_c 8.4772
_cell_angle_alpha 90.00
_cell_angle_beta 90.00
_cell_angle_gamma 120.00
loop_
_atom_site_label
_atom_site_fract_x
_atom_site_fract_y
_atom_site_fract_z
K1 0.0000 0.0000 0.0000
V1 0.0000 0.0000 0.5000
P1 0.3333 0.6667 0.6990
O1 0.0736 0.3430 0.6298
O2 0.3333 0.6667 0.8755